AcLa2Ir9 after structural relaxation. Source: the Alexandria database, functional PBE.

Structure (POSCAR):
```
AcLa2Ir9
1.0
5.221 0.000 1.554
2.379 4.647 1.554
0.033 0.020 9.437
Ac La Ir
1 2 9
direct
0.000 0.000 0.000
0.860 0.860 0.420
0.140 0.140 0.580
0.669 0.669 0.994
0.331 0.331 0.006
0.500 0.500 0.500
0.422 0.422 0.242
0.914 0.422 0.242
0.422 0.914 0.242
0.578 0.578 0.758
0.578 0.086 0.758
0.086 0.578 0.758
```

Computed properties:
Calculated total energy = -8.31 eV per atom
E_form = -0.498 eV/atom
Space-group type = R-3m

Ac6LaIr2 after structural relaxation. Source: the Alexandria database, functional PBE.

Structure (POSCAR):
```
Ac6LaIr2
1.0
-4.044 2.152 6.236
-7.606 -1.380 0.344
-2.615 -5.991 5.172
Ac La Ir
6 1 2
direct
0.431 0.318 0.377
0.318 0.874 0.377
0.874 0.431 0.377
0.362 0.706 0.882
0.706 0.051 0.882
0.051 0.362 0.882
0.845 0.845 0.464
0.299 0.299 0.104
0.449 0.449 0.652
```

Computed properties:
Calculated total energy = -5.45 eV per atom
E_form = -0.193 eV/atom
Space-group type = R3

Ac3La2Ir3 after structural relaxation. Source: the Alexandria database, functional PBE.

Structure (POSCAR):
```
Ac3La2Ir3
1.0
5.826 0.000 0.000
-2.913 6.867 0.041
0.000 0.229 14.518
Ac La Ir
6 4 6
direct
0.662 0.324 0.574
0.750 0.501 0.249
0.957 0.914 0.877
0.253 0.507 0.749
0.053 0.106 0.119
0.046 0.092 0.381
0.681 0.363 0.935
0.938 0.876 0.614
0.316 0.632 0.435
0.328 0.656 0.066
0.792 0.584 0.751
0.852 0.705 0.056
0.843 0.686 0.443
0.212 0.425 0.251
0.158 0.315 0.943
0.137 0.274 0.562
```

Computed properties:
Calculated total energy = -6.67 eV per atom
E_form = -0.574 eV/atom
Space-group type = Cm